Entry 1:
This record from Alexandria via LeMat-Bulk describes an optimized crystal structure of TaMnRe2. The functional is PBE-GGA.

a = 3.1536 Å, b = 4.3367 Å, c = 4.4147 Å
α = 90.00°, β = 90.00°, γ = 90.00°
Fractional coordinates of all 4 atoms:
Ta 0.0000 0.0000 0.0000
Mn 0.5000 0.5000 0.0000
Re 0.0000 0.5000 0.5000
Re 0.5000 0.0000 0.5000

---

Entry 2:
This record from Alexandria via LeMat-Bulk describes an optimized crystal structure of PuPd6Au6. The functional is PBE-GGA.

a = 7.1150 Å, b = 7.1150 Å, c = 7.1150 Å
α = 134.88°, β = 98.83°, γ = 98.10°
Fractional coordinates of all 13 atoms:
Pu 0.0000 0.0000 0.0000
Pd 0.0000 0.0000 0.5000
Pd 0.0000 0.5000 0.0000
Pd 0.2290 0.5000 0.7290
Pd 0.5000 0.0000 0.0000
Pd 0.5000 0.5000 0.5000
Pd 0.7710 0.5000 0.2710
Au 0.1972 0.6972 0.5000
Au 0.3392 0.0000 0.3392
Au 0.3459 0.3459 0.0000
Au 0.6541 0.6541 0.0000
Au 0.6608 0.0000 0.6608
Au 0.8028 0.3028 0.5000

---

Entry 3:
This record from Alexandria via LeMat-Bulk describes an optimized crystal structure of ReNi2Sn2. The functional is PBE-GGA.

Output
The calculation puts the offset from the most stable computed form at 0.0 kJ/mol of formula units.

a = 7.1511 Å, b = 7.1511 Å, c = 3.0485 Å
α = 90.00°, β = 90.00°, γ = 90.00°
Fractional coordinates of all 10 atoms:
Re 0.0000 0.0000 0.0000
Re 0.5000 0.5000 0.0000
Ni 0.1215 0.3785 0.0000
Ni 0.3785 0.8785 0.0000
Ni 0.6215 0.1215 0.0000
Ni 0.8785 0.6215 0.0000
Sn 0.1772 0.6772 0.5000
Sn 0.3228 0.1772 0.5000
Sn 0.6772 0.8228 0.5000
Sn 0.8228 0.3228 0.5000

---

Number 1: E_form -41 meV per atom, density of states at the Fermi level 3.59 states/eV/f.u.. Number 2: E_form -181 meV per atom, density of states at the Fermi level 24.63 states/eV/f.u.. Number 3: E_form 311 meV per atom, density of states at the Fermi level 6.67 states/eV/f.u..